## P
# LaReS3 | the Alexandria database | PBE | relaxed
data_LaReS3
_space_group_name_H-M_alt 'P m -3 m'
_space_group_IT_number 221
_space_group_name_Hall '-P 4 2 3'
_cell_length_a 5.462
_cell_length_b 5.462
_cell_length_c 5.462
_cell_angle_alpha 90.00
_cell_angle_beta 90.00
_cell_angle_gamma 90.00
loop_
_atom_site_label
_atom_site_fract_x
_atom_site_fract_y
_atom_site_fract_z
La1 0.000 0.000 0.000
Re1 0.500 0.500 0.500
S1 0.000 0.000 0.500
# Volume: 32.59 Å³/atom
# Crystal system: cubic


## Q
# LaReS3 | the Alexandria database | PBE | relaxed
data_LaReS3
_space_group_name_H-M_alt 'P m -3 m'
_space_group_IT_number 221
_space_group_name_Hall '-P 4 2 3'
_cell_length_a 4.689
_cell_length_b 4.689
_cell_length_c 4.689
_cell_angle_alpha 90.00
_cell_angle_beta 90.00
_cell_angle_gamma 90.00
loop_
_atom_site_label
_atom_site_fract_x
_atom_site_fract_y
_atom_site_fract_z
La1 0.000 0.000 0.000
Re1 0.500 0.500 0.500
S1 0.000 0.500 0.500
# Volume: 20.62 Å³/atom
# Crystal system: cubic


The least stable of them is P.


## P
# LaReSb3 | the Alexandria database | PBE | relaxed
data_LaReSb3
_space_group_name_H-M_alt 'P m -3 m'
_space_group_IT_number 221
_space_group_name_Hall '-P 4 2 3'
_cell_length_a 5.981
_cell_length_b 5.981
_cell_length_c 5.981
_cell_angle_alpha 90.00
_cell_angle_beta 90.00
_cell_angle_gamma 90.00
loop_
_atom_site_label
_atom_site_fract_x
_atom_site_fract_y
_atom_site_fract_z
La1 0.000 0.000 0.000
Re1 0.500 0.500 0.500
Sb1 0.000 0.000 0.500
# Volume: 42.79 Å³/atom
# Crystal system: cubic


## Q
# LaReSb3 | the Alexandria database | PBE | relaxed
data_LaReSb3
_space_group_name_H-M_alt 'P m -3 m'
_space_group_IT_number 221
_space_group_name_Hall '-P 4 2 3'
_cell_length_a 5.253
_cell_length_b 5.253
_cell_length_c 5.253
_cell_angle_alpha 90.00
_cell_angle_beta 90.00
_cell_angle_gamma 90.00
loop_
_atom_site_label
_atom_site_fract_x
_atom_site_fract_y
_atom_site_fract_z
La1 0.000 0.000 0.000
Re1 0.500 0.500 0.500
Sb1 0.000 0.500 0.500
# Volume: 28.99 Å³/atom
# Crystal system: cubic


The least stable of them is P.


## P
# La2ReSb2 | the Alexandria database | PBE | relaxed
data_La2ReSb2
_space_group_name_H-M_alt 'I 4/m m m'
_space_group_IT_number 139
_space_group_name_Hall '-I 4 2'
_cell_length_a 4.213
_cell_length_b 4.213
_cell_length_c 14.993
_cell_angle_alpha 90.00
_cell_angle_beta 90.00
_cell_angle_gamma 90.00
loop_
_atom_site_label
_atom_site_fract_x
_atom_site_fract_y
_atom_site_fract_z
La1 0.000 0.500 0.250
Re1 0.000 0.000 0.000
Sb1 0.000 0.000 0.411
# Volume: 26.61 Å³/atom
# Crystal system: tetragonal


## Q
# La2ReSb2 | the Alexandria database | PBE | relaxed
data_La2ReSb2
_space_group_name_H-M_alt 'P 4/m b m'
_space_group_IT_number 127
_space_group_name_Hall '-P 4 2ab'
_cell_length_a 7.173
_cell_length_b 7.173
_cell_length_c 5.079
_cell_angle_alpha 90.00
_cell_angle_beta 90.00
_cell_angle_gamma 90.00
loop_
_atom_site_label
_atom_site_fract_x
_atom_site_fract_y
_atom_site_fract_z
La1 0.174 0.326 0.000
Re1 0.000 0.000 0.500
Sb1 0.145 0.645 0.500
# Volume: 26.13 Å³/atom
# Crystal system: tetragonal


The least stable of them is P.


## P
# LaRe2Sb2 | the Alexandria database | PBE | relaxed
data_LaRe2Sb2
_space_group_name_H-M_alt 'I 4/m m m'
_space_group_IT_number 139
_space_group_name_Hall '-I 4 2'
_cell_length_a 4.532
_cell_length_b 4.532
_cell_length_c 11.153
_cell_angle_alpha 90.00
_cell_angle_beta 90.00
_cell_angle_gamma 90.00
loop_
_atom_site_label
_atom_site_fract_x
_atom_site_fract_y
_atom_site_fract_z
La1 0.000 0.000 0.000
Re1 0.000 0.500 0.250
Sb1 0.000 0.000 0.369
# Volume: 22.90 Å³/atom
# Crystal system: tetragonal


## Q
# LaRe2Sb2 | the Alexandria database | PBE | relaxed
data_LaRe2Sb2
_space_group_name_H-M_alt 'P 4/m b m'
_space_group_IT_number 127
_space_group_name_Hall '-P 4 2ab'
_cell_length_a 8.173
_cell_length_b 8.173
_cell_length_c 3.121
_cell_angle_alpha 90.00
_cell_angle_beta 90.00
_cell_angle_gamma 90.00
loop_
_atom_site_label
_atom_site_fract_x
_atom_site_fract_y
_atom_site_fract_z
La1 0.000 0.000 0.000
Re1 0.136 0.364 0.500
Sb1 0.149 0.649 0.000
# Volume: 20.85 Å³/atom
# Crystal system: tetragonal


The least stable of them is Q.


## P
# LaRe3Sb | the Alexandria database | PBE | relaxed
data_LaRe3Sb
_space_group_name_H-M_alt 'P m -3 m'
_space_group_IT_number 221
_space_group_name_Hall '-P 4 2 3'
_cell_length_a 4.880
_cell_length_b 4.880
_cell_length_c 4.880
_cell_angle_alpha 90.00
_cell_angle_beta 90.00
_cell_angle_gamma 90.00
loop_
_atom_site_label
_atom_site_fract_x
_atom_site_fract_y
_atom_site_fract_z
La1 0.000 0.000 0.000
Re1 0.000 0.000 0.500
Sb1 0.500 0.500 0.500
# Volume: 23.24 Å³/atom
# Crystal system: cubic


## Q
# LaRe3Sb | the Alexandria database | PBE | relaxed
data_LaRe3Sb
_space_group_name_H-M_alt 'P m -3 m'
_space_group_IT_number 221
_space_group_name_Hall '-P 4 2 3'
_cell_length_a 4.922
_cell_length_b 4.922
_cell_length_c 4.922
_cell_angle_alpha 90.00
_cell_angle_beta 90.00
_cell_angle_gamma 90.00
loop_
_atom_site_label
_atom_site_fract_x
_atom_site_fract_y
_atom_site_fract_z
La1 0.000 0.000 0.000
Re1 0.000 0.500 0.500
Sb1 0.500 0.500 0.500
# Volume: 23.84 Å³/atom
# Crystal system: cubic


The least stable of them is P.


## P
# La2ScRe | the Alexandria database | PBE | relaxed
data_La2ScRe
_space_group_name_H-M_alt 'C m m m'
_space_group_IT_number 65
_space_group_name_Hall '-C 2 2'
_cell_length_a 7.107
_cell_length_b 7.233
_cell_length_c 3.948
_cell_angle_alpha 90.00
_cell_angle_beta 90.00
_cell_angle_gamma 90.00
loop_
_atom_site_label
_atom_site_fract_x
_atom_site_fract_y
_atom_site_fract_z
La1 0.250 0.250 0.000
Sc1 0.000 0.000 0.500
Re1 0.000 0.500 0.500
# Volume: 25.37 Å³/atom
# Crystal system: orthorhombic


## Q
# La2ScRe | the Alexandria database | PBE | relaxed
data_La2ScRe
_space_group_name_H-M_alt 'I -4 m 2'
_space_group_IT_number 119
_space_group_name_Hall 'I -4 -2'
_cell_length_a 5.485
_cell_length_b 5.485
_cell_length_c 6.310
_cell_angle_alpha 90.00
_cell_angle_beta 90.00
_cell_angle_gamma 90.00
loop_
_atom_site_label
_atom_site_fract_x
_atom_site_fract_y
_atom_site_fract_z
La1 0.000 0.000 0.000
La2 0.000 0.500 0.250
Sc1 0.000 0.500 0.750
Re1 0.000 0.000 0.500
# Volume: 23.73 Å³/atom
# Crystal system: tetragonal


The least stable of them is P.